(one)
Material: LiCoAs2
Method: DFT, SCAN
State: PBEsol geometry

The space group is P2/m (No. 10) and the conventional cell measures 4.090, 2.909 and 5.019 Å, with angles of 90.00, 113.23 and 90.00 degrees. Symmetry generates all atoms from Li at (0.000, 0.000, 0.000), Co at (0.500, 0.500, 0.500), As at (0.000, 0.000, 0.500) and As at (0.500, 0.500, 0.000).

As for the volume: 55 Å³ per cell. The density of states at the Fermi level comes out at 0.4491 states/eV/atom.

(two)
Material: LiCoAs2
Method: DFT, SCAN
State: PBEsol geometry

The space group is Immm (No. 71) and the conventional cell measures 4.221, 4.240 and 5.992 Å, with angles of 90.00, 90.00 and 90.00 degrees. Symmetry generates all atoms from Li at (0.000, 0.000, 0.000), Co at (0.000, 0.000, 0.500) and As at (0.000, 0.500, 0.250).

As for the volume: 107 Å³ per cell. The density of states at the Fermi level comes out at 0.2824 states/eV/atom.

Relative energy table, unit meV/atom: (one) 18; (two) 0